TaVAg2O6 | PBE+U | relaxed

Unit cell a=4.149 b=5.447 c=5.447 alpha=90.00 beta=90.00 gamma=90.00
Fractional coordinates of all 10 atoms:
1 O 0.666 0.757 0.243
2 O 0.186 0.000 0.000
3 O 0.164 0.500 0.500
4 O 0.666 0.243 0.243
5 O 0.666 0.757 0.757
6 O 0.666 0.243 0.757
7 Ag 0.109 0.500 0.000
8 Ag 0.109 0.000 0.500
9 V 0.591 0.000 0.000
10 Ta 0.624 0.500 0.500

Output
Space-group type: No. 99
Calculated total energy: -70.5 eV/f.u.



TaV2AgO8 | PBE+U | relaxed

Unit cell a=5.832 b=5.832 c=5.832 alpha=105.50 beta=105.50 gamma=117.75
Fractional coordinates of all 12 atoms:
1 O 0.350 0.563 0.214
2 O 0.721 0.045 0.675
3 O 0.350 0.136 0.786
4 O 0.370 0.045 0.325
5 O 0.955 0.279 0.325
6 O 0.864 0.650 0.214
7 O 0.437 0.650 0.786
8 O 0.955 0.630 0.675
9 V 0.500 0.500 0.000
10 V 0.750 0.250 0.500
11 Ag 0.000 0.000 0.000
12 Ta 0.250 0.750 0.500

Output
Space-group type: No. 119
Calculated total energy: -90.6 eV/f.u.
DOS at the Fermi energy: 0.0335 states/eV/atom



TaAg2WO6 | PBE+U | relaxed

Unit cell a=5.593 b=5.691 c=8.037 alpha=90.00 beta=90.00 gamma=90.00
Fractional coordinates of all 20 atoms:
1 Ag 0.500 0.750 0.248
2 Ag 0.000 0.250 0.748
3 Ag 0.500 0.750 0.752
4 Ag 0.000 0.250 0.252
5 O 0.748 0.999 0.500
6 O 0.500 0.250 0.753
7 O 0.752 0.499 0.000
8 O 0.500 0.250 0.247
9 O 0.000 0.750 0.747
10 O 0.248 0.001 0.000
11 O 0.248 0.499 0.000
12 O 0.752 0.001 0.000
13 O 0.252 0.999 0.500
14 O 0.252 0.501 0.500
15 O 0.748 0.501 0.500
16 O 0.000 0.750 0.253
17 Ta 0.500 0.250 0.000
18 Ta 0.000 0.750 0.500
19 W 0.000 0.750 0.000
20 W 0.500 0.250 0.500

Output
Space-group type: No. 71
Calculated total energy: -71.1 eV/f.u.
DOS at the Fermi energy: 0.0025 states/eV/atom



TaAgWO6 | PBE+U | relaxed

Unit cell a=5.313 b=5.313 c=10.394 alpha=90.00 beta=90.00 gamma=120.00
Fractional coordinates of all 18 atoms:
1 O 0.384 0.378 0.355
2 O 0.378 0.993 0.645
3 O 0.622 0.007 0.355
4 O 0.007 0.622 0.855
5 O 0.007 0.384 0.645
6 O 0.616 0.622 0.645
7 O 0.993 0.378 0.145
8 O 0.622 0.616 0.145
9 O 0.378 0.384 0.855
10 O 0.384 0.007 0.145
11 O 0.616 0.993 0.855
12 O 0.993 0.616 0.355
13 W 0.667 0.333 0.250
14 W 0.333 0.667 0.750
15 Ta 0.333 0.667 0.250
16 Ta 0.667 0.333 0.750
17 Ag 0.000 0.000 0.500
18 Ag 0.000 0.000 0.000

Output
Space-group type: No. 163
Calculated total energy: -69.2 eV/f.u.
DOS at the Fermi energy: 0.0000 states/eV/atom



TaAgWO7 | PBE+U | relaxed

Unit cell a=7.449 b=7.449 c=7.449 alpha=121.00 beta=119.81 gamma=89.30
Fractional coordinates of all 20 atoms:
1 W 0.000 0.500 0.000
2 W 0.000 0.000 0.500
3 O 0.694 0.815 0.252
4 O 0.424 0.174 0.250
5 O 0.944 0.194 0.750
6 O 0.687 0.437 0.250
7 O 0.576 0.826 0.750
8 O 0.056 0.806 0.250
9 O 0.306 0.559 0.122
10 O 0.937 0.559 0.752
11 O 0.694 0.441 0.878
12 O 0.313 0.563 0.750
13 O 0.063 0.815 0.622
14 O 0.063 0.441 0.248
15 O 0.306 0.185 0.748
16 O 0.937 0.185 0.378
17 Ag 0.500 0.500 0.500
18 Ag 0.500 0.000 0.000
19 Ta 0.000 0.500 0.500
20 Ta 0.500 0.500 0.000

Output
Space-group type: No. 74
Calculated total energy: -73.3 eV/f.u.
DOS at the Fermi energy: 0.2478 states/eV/atom